## CuOsPt2 (PBE)

Data for a relaxed CuOsPt2 crystal.

Properties
polymorph energy (0 for the lowest one) = 32.3 kJ/mol of atoms
ΔE_f = 1.37 eV per formula unit
total DFT energy (no corrections) = -26.033 eV per cell
total moment = 1.46 Bohr magnetons per cell

Unit cell a=4.3876 b=4.3876 c=4.3876 alpha=60.00 beta=60.00 gamma=60.00
Closest atoms and distances in Å follow each position.
Fractional coordinates of all 4 atoms:
Os: 0.5000 0.5000 0.5000  8 Pt 2.69
Cu: 0.0000 0.0000 0.0000  8 Pt 2.69
Pt: 0.2500 0.2500 0.2500  4 Os 2.69, 4 Cu 2.69
Pt: 0.7500 0.7500 0.7500  4 Os 2.69, 4 Cu 2.69


## CuOsPt2 (PBE)

Data for a relaxed CuOsPt2 crystal.

Properties
polymorph energy (0 for the lowest one) = 5.4 kJ/mol of atoms
ΔE_f = 0.26 eV per formula unit
total DFT energy (no corrections) = -27.150 eV per cell
total moment = 0.00 Bohr magnetons per cell

Unit cell a=3.9067 b=2.7412 c=6.0627 alpha=63.16 beta=90.00 gamma=90.00
Closest atoms and distances in Å follow each position.
Fractional coordinates of all 4 atoms:
Cu: 0.5000 0.2500 0.2500  2 Os 2.70, 2 Cu 2.74, 8 Pt 2.74-2.75
Os: 0.5000 0.7500 0.7500  2 Cu 2.70, 8 Pt 2.74, 2 Os 2.74
Pt: 0.0000 0.0003 0.9991  4 Pt 2.69-2.74, 4 Os 2.74, 4 Cu 2.74-2.75
Pt: 0.0000 0.4997 0.5009  4 Pt 2.69-2.74, 4 Os 2.74, 4 Cu 2.74-2.75


## CuOsPt2 (PBE)

Data for a relaxed CuOsPt2 crystal.

Properties
polymorph energy (0 for the lowest one) = 51.7 kJ/mol of atoms
ΔE_f = 2.18 eV per formula unit
total DFT energy (no corrections) = -50.463 eV per cell
total moment = 1.83 Bohr magnetons per cell

Unit cell a=3.8013 b=3.8013 c=9.2218 alpha=78.11 beta=78.11 gamma=90.00
Closest atoms and distances in Å follow each position.
Fractional coordinates of all 8 atoms:
Os: 0.0000 0.0000 0.0000  4 Pt 2.58, 4 Cu 2.69
Os: 0.7500 0.2500 0.5000  4 Pt 2.58, 4 Cu 2.69
Cu: 0.5000 0.5000 0.0000  4 Pt 2.58, 4 Os 2.69
Cu: 0.2500 0.7500 0.5000  4 Pt 2.58, 4 Os 2.69
Pt: 0.6257 0.1250 0.2500  2 Os 2.58, 2 Cu 2.58, 4 Pt 2.68-2.69
Pt: 0.1243 0.6250 0.2500  2 Os 2.58, 2 Cu 2.58, 4 Pt 2.68-2.69
Pt: 0.3750 0.3743 0.7500  2 Os 2.58, 2 Cu 2.58, 4 Pt 2.68-2.69
Pt: 0.8750 0.8757 0.7500  2 Os 2.58, 2 Cu 2.58, 4 Pt 2.68-2.69


## Cu3OsPt (PBE)

Data for a relaxed Cu3OsPt crystal.

Properties
polymorph energy (0 for the lowest one) = 7.7 kJ/mol of atoms
ΔE_f = 8.55 eV per formula unit
total DFT energy (no corrections) = -21.010 eV per cell
total moment = 2.99 Bohr magnetons per cell

Unit cell a=4.5882 b=4.5882 c=4.5882 alpha=90.00 beta=90.00 gamma=90.00
Closest atoms and distances in Å follow each position.
Fractional coordinates of all 5 atoms:
Os: 0.5000 0.5000 0.5000  12 Cu 3.24
Cu: 0.0000 0.5000 0.0000  2 Pt 2.29
Cu: 0.0000 0.0000 0.5000  2 Pt 2.29
Cu: 0.5000 0.0000 0.0000  2 Pt 2.29
Pt: 0.0000 0.0000 0.0000  6 Cu 2.29


## CuOsPt2 (PBE)

Data for a relaxed CuOsPt2 crystal.

Properties
polymorph energy (0 for the lowest one) = 17.6 kJ/mol of atoms
ΔE_f = 0.76 eV per formula unit
total DFT energy (no corrections) = -26.644 eV per cell
total moment = 1.04 Bohr magnetons per cell

Unit cell a=4.6959 b=4.6959 c=2.7060 alpha=90.00 beta=90.00 gamma=90.00
Closest atoms and distances in Å follow each position.
Fractional coordinates of all 4 atoms:
Cu: 0.5000 0.0000 0.5000  2 Cu 2.71, 8 Pt 2.71
Os: 0.0000 0.5000 0.5000  2 Os 2.71, 8 Pt 2.71
Pt: 0.0000 0.0000 0.0000  2 Pt 2.71, 4 Os 2.71, 4 Cu 2.71
Pt: 0.5000 0.5000 0.0000  2 Pt 2.71, 4 Os 2.71, 4 Cu 2.71


## Cu2OsPt (PBE)

Data for a relaxed Cu2OsPt crystal.

Properties
polymorph energy (0 for the lowest one) = 17.0 kJ/mol of atoms
ΔE_f = 0.98 eV per formula unit
total DFT energy (no corrections) = -24.487 eV per cell
total moment = 0.59 Bohr magnetons per cell

Unit cell a=5.2510 b=5.2510 c=5.2510 alpha=150.61 beta=127.09 gamma=61.68
Closest atoms and distances in Å follow each position.
Fractional coordinates of all 4 atoms:
Cu: 0.9979 0.9979 0.0000  2 Os 2.60, 2 Pt 2.63, 6 Cu 2.66-2.69
Cu: 0.5021 0.5021 0.0000  2 Os 2.60, 2 Pt 2.63, 6 Cu 2.66-2.69
Os: 0.7500 0.2500 0.5000  4 Cu 2.60, 2 Os 2.66, 4 Pt 2.69
Pt: 0.2500 0.7500 0.5000  4 Cu 2.63, 2 Pt 2.66, 4 Os 2.69


## CuOsPt2 (PBE)

Data for a relaxed CuOsPt2 crystal.

Properties
polymorph energy (0 for the lowest one) = 4.7 kJ/mol of atoms
ΔE_f = 0.23 eV per formula unit
total DFT energy (no corrections) = -27.181 eV per cell
total moment = 0.00 Bohr magnetons per cell

Unit cell a=4.7882 b=4.7882 c=2.7055 alpha=89.99 beta=89.99 gamma=110.65
Closest atoms and distances in Å follow each position.
Fractional coordinates of all 4 atoms:
Cu: 0.5000 0.0000 0.5000  2 Cu 2.71, 2 Os 2.72, 8 Pt 2.75
Os: 0.0000 0.5000 0.5000  2 Os 2.71, 2 Cu 2.72, 8 Pt 2.75
Pt: 0.0000 0.0000 0.0000  4 Pt 2.71-2.72, 4 Cu 2.75, 4 Os 2.75
Pt: 0.5000 0.5000 0.0000  4 Pt 2.71-2.72, 4 Os 2.75, 4 Cu 2.75


## CuOsPt2 (PBE)

Data for a relaxed CuOsPt2 crystal.

Properties
polymorph energy (0 for the lowest one) = 12.9 kJ/mol of atoms
ΔE_f = 0.57 eV per formula unit
total DFT energy (no corrections) = -26.839 eV per cell
total moment = 0.00 Bohr magnetons per cell

Unit cell a=2.7481 b=3.8357 c=5.5221 alpha=90.00 beta=90.00 gamma=90.00
Closest atoms and distances in Å follow each position.
Fractional coordinates of all 4 atoms:
Cu: 0.0000 0.0000 0.5009  6 Pt 2.66-2.87, 4 Os 2.74, 2 Cu 2.75
Os: 0.5000 0.5000 0.7523  6 Pt 2.68-2.83, 4 Cu 2.74, 2 Os 2.75
Pt: 0.0000 0.0000 0.9819  2 Cu 2.66-2.87, 4 Os 2.68, 6 Pt 2.75-2.83
Pt: 0.5000 0.5000 0.2650  2 Os 2.69-2.83, 4 Cu 2.69, 6 Pt 2.75-2.83


## CuOsPt2 (PBE)

Data for a relaxed CuOsPt2 crystal.

Properties
polymorph energy (0 for the lowest one) = 2.2 kJ/mol of atoms
ΔE_f = 0.12 eV per formula unit
total DFT energy (no corrections) = -27.284 eV per cell
total moment = 0.00 Bohr magnetons per cell

Unit cell a=2.7707 b=2.7707 c=7.5549 alpha=90.00 beta=90.00 gamma=90.00
Closest atoms and distances in Å follow each position.
Fractional coordinates of all 4 atoms:
Cu: 0.5000 0.5000 0.2500  8 Pt 2.71, 4 Cu 2.77
Os: 0.5000 0.5000 0.7500  8 Pt 2.73, 4 Os 2.77
Pt: 0.0000 0.0000 0.0014  4 Cu 2.71, 4 Os 2.73, 4 Pt 2.77
Pt: 0.0000 0.0000 0.4986  4 Cu 2.71, 4 Os 2.73, 4 Pt 2.77


## Cu2OsPt (PBE)

Data for a relaxed Cu2OsPt crystal.

Properties
polymorph energy (0 for the lowest one) = 6.0 kJ/mol of atoms
ΔE_f = 0.52 eV per formula unit
total DFT energy (no corrections) = -24.945 eV per cell
total moment = 0.00 Bohr magnetons per cell

Unit cell a=4.5861 b=4.5861 c=4.7706 alpha=81.25 beta=81.25 gamma=33.59
Closest atoms and distances in Å follow each position.
Fractional coordinates of all 4 atoms:
Cu: 0.9980 0.9980 0.0084  6 Cu 2.65-2.79, 3 Os 2.65, 3 Pt 2.67-2.70
Cu: 0.5020 0.5020 0.4916  6 Cu 2.65-2.79, 3 Os 2.65, 3 Pt 2.67-2.70
Os: 0.2500 0.2500 0.2500  2 Os 2.65, 6 Cu 2.65, 4 Pt 2.73
Pt: 0.7500 0.7500 0.7500  2 Pt 2.65, 6 Cu 2.67-2.70, 4 Os 2.73


## CuOs3Pt (PBE)

Data for a relaxed CuOs3Pt crystal.

Properties
polymorph energy (0 for the lowest one) = 0.0 kJ/mol of atoms
ΔE_f = 10.49 eV per formula unit
total DFT energy (no corrections) = -33.340 eV per cell
total moment = 0.00 Bohr magnetons per cell

Unit cell a=4.3896 b=4.3896 c=4.3896 alpha=90.00 beta=90.00 gamma=90.00
Closest atoms and distances in Å follow each position.
Fractional coordinates of all 5 atoms:
Os: 0.0000 0.5000 0.0000  2 Cu 2.19
Os: 0.0000 0.0000 0.5000  2 Cu 2.19
Os: 0.5000 0.0000 0.0000  2 Cu 2.19
Cu: 0.0000 0.0000 0.0000  6 Os 2.19
Pt: 0.5000 0.5000 0.5000  12 Os 3.10


## Cu2OsPt (PBE)

Data for a relaxed Cu2OsPt crystal.

Properties
polymorph energy (0 for the lowest one) = 26.8 kJ/mol of atoms
ΔE_f = 1.38 eV per formula unit
total DFT energy (no corrections) = -24.084 eV per cell
total moment = 2.09 Bohr magnetons per cell

Unit cell a=4.5575 b=4.5575 c=4.5575 alpha=129.54 beta=129.54 gamma=74.14
Closest atoms and distances in Å follow each position.
Fractional coordinates of all 4 atoms:
Cu: 0.0000 0.0000 0.0000  4 Os 2.66, 4 Pt 2.66, 4 Cu 2.75
Cu: 0.5000 0.5000 0.0000  4 Os 2.66, 4 Pt 2.66, 4 Cu 2.75
Os: 0.2500 0.7500 0.5000  8 Cu 2.66, 4 Pt 2.75
Pt: 0.7500 0.2500 0.5000  8 Cu 2.66, 4 Os 2.75


## CuOsPt2 (PBE)

Data for a relaxed CuOsPt2 crystal.

Properties
polymorph energy (0 for the lowest one) = 12.2 kJ/mol of atoms
ΔE_f = 0.54 eV per formula unit
total DFT energy (no corrections) = -26.867 eV per cell
total moment = 0.00 Bohr magnetons per cell

Unit cell a=4.7395 b=4.7395 c=4.7395 alpha=131.93 beta=131.93 gamma=70.34
Closest atoms and distances in Å follow each position.
Fractional coordinates of all 4 atoms:
Cu: 0.2500 0.7500 0.5000  4 Os 2.73, 8 Pt 2.73
Os: 0.7500 0.2500 0.5000  4 Cu 2.73, 8 Pt 2.73
Pt: 0.0000 0.0000 0.0000  4 Pt 2.73, 4 Os 2.73, 4 Cu 2.73
Pt: 0.5000 0.5000 0.0000  4 Pt 2.73, 4 Cu 2.73, 4 Os 2.73


## CuOsPt2 (PBE)

Data for a relaxed CuOsPt2 crystal.

Properties
polymorph energy (0 for the lowest one) = 0.0 kJ/mol of atoms
ΔE_f = 0.03 eV per formula unit
total DFT energy (no corrections) = -27.374 eV per cell
total moment = 0.00 Bohr magnetons per cell

Unit cell a=9.0112 b=9.0112 c=9.0112 alpha=17.54 beta=17.54 gamma=17.54
Closest atoms and distances in Å follow each position.
Fractional coordinates of all 4 atoms:
Cu: 0.2500 0.2500 0.2500  6 Pt 2.69, 6 Cu 2.75
Os: 0.7500 0.7500 0.7500  6 Os 2.75, 6 Pt 2.77
Pt: 0.9982 0.9982 0.9982  3 Cu 2.69, 6 Pt 2.75, 3 Os 2.77
Pt: 0.5018 0.5018 0.5018  3 Cu 2.69, 6 Pt 2.75, 3 Os 2.77


## Cu3OsPt (PBE)

Data for a relaxed Cu3OsPt crystal.

Properties
polymorph energy (0 for the lowest one) = 0.0 kJ/mol of atoms
ΔE_f = 8.15 eV per formula unit
total DFT energy (no corrections) = -21.407 eV per cell
total moment = 1.10 Bohr magnetons per cell

Unit cell a=4.5601 b=4.5601 c=4.5601 alpha=90.00 beta=90.00 gamma=90.00
Closest atoms and distances in Å follow each position.
Fractional coordinates of all 5 atoms:
Os: 0.0000 0.0000 0.0000  6 Cu 2.28
Cu: 0.0000 0.5000 0.0000  2 Os 2.28
Cu: 0.0000 0.0000 0.5000  2 Os 2.28
Cu: 0.5000 0.0000 0.0000  2 Os 2.28
Pt: 0.5000 0.5000 0.5000  12 Cu 3.22


## Cu2OsPt (PBE)

Data for a relaxed Cu2OsPt crystal.

Properties
polymorph energy (0 for the lowest one) = 4.6 kJ/mol of atoms
ΔE_f = 0.46 eV per formula unit
total DFT energy (no corrections) = -25.002 eV per cell
total moment = 0.00 Bohr magnetons per cell

Unit cell a=8.7979 b=8.7979 c=8.7979 alpha=17.67 beta=17.67 gamma=17.67
Closest atoms and distances in Å follow each position.
Fractional coordinates of all 4 atoms:
Cu: 0.9965 0.9965 0.9965  9 Cu 2.54-2.70, 3 Pt 2.70
Cu: 0.2524 0.2524 0.2524  9 Cu 2.54-2.70, 3 Os 2.65
Os: 0.5033 0.5033 0.5033  3 Cu 2.65, 6 Os 2.70, 3 Pt 2.79
Pt: 0.7478 0.7478 0.7478  3 Cu 2.70, 6 Pt 2.70, 3 Os 2.79


## Cu2OsPt (PBE)

Data for a relaxed Cu2OsPt crystal.

Properties
polymorph energy (0 for the lowest one) = 0.0 kJ/mol of atoms
ΔE_f = 0.27 eV per formula unit
total DFT energy (no corrections) = -25.194 eV per cell
total moment = 0.00 Bohr magnetons per cell

Unit cell a=8.7806 b=8.7806 c=8.7806 alpha=17.72 beta=17.72 gamma=17.72
Closest atoms and distances in Å follow each position.
Fractional coordinates of all 4 atoms:
Cu: 0.9992 0.9992 0.9992  3 Os 2.65, 3 Pt 2.68, 6 Cu 2.70
Cu: 0.5008 0.5008 0.5008  3 Os 2.65, 3 Pt 2.68, 6 Cu 2.70
Os: 0.2500 0.2500 0.2500  6 Cu 2.65, 6 Os 2.70
Pt: 0.7500 0.7500 0.7500  6 Cu 2.68, 6 Pt 2.70


## Pu2CuOs (PBE)

Data for a relaxed Pu2CuOs crystal.

Properties
ΔE_f = 1.83 eV per formula unit
total DFT energy (no corrections) = -42.156 eV per cell
total moment = 9.10 Bohr magnetons per cell

Unit cell a=2.8619 b=2.8619 c=10.6912 alpha=82.31 beta=82.31 gamma=60.00
Closest atoms and distances in Å follow each position.
Fractional coordinates of all 4 atoms:
Os: 0.5000 0.5000 0.5000  6 Os 2.86, 6 Pu 2.96
Cu: 0.0000 0.0000 0.0000  2 Pu 2.83, 6 Cu 2.86
Pu: 0.0892 0.0892 0.7324  1 Cu 2.83, 6 Pu 2.86, 3 Os 2.96
Pu: 0.9108 0.9108 0.2676  1 Cu 2.83, 6 Pu 2.86, 3 Os 2.96


## PuCuOs (PBE)

Data for a relaxed PuCuOs crystal.

Properties
polymorph energy (0 for the lowest one) = 31.9 kJ/mol of atoms
ΔE_f = 0.81 eV per formula unit
total DFT energy (no corrections) = -28.846 eV per cell
total moment = 4.70 Bohr magnetons per cell

Unit cell a=3.2611 b=3.2611 c=5.4840 alpha=107.30 beta=107.30 gamma=90.00
Closest atoms and distances in Å follow each position.
Fractional coordinates of all 3 atoms:
Os: 0.2652 0.2652 0.5304  4 Cu 2.60, 4 Pu 2.89
Cu: 0.6439 0.6439 0.2878  4 Os 2.60
Pu: 0.9409 0.9409 0.8818  5 Os 2.89-3.23, 5 Cu 2.96-3.07


## PuCuOs (PBE)

Data for a relaxed PuCuOs crystal.

Properties
polymorph energy (0 for the lowest one) = 0.0 kJ/mol of atoms
ΔE_f = -0.18 eV per formula unit
total DFT energy (no corrections) = -59.675 eV per cell
total moment = 9.28 Bohr magnetons per cell

Unit cell a=5.4359 b=5.3257 c=5.3257 alpha=53.92 beta=59.31 gamma=59.31
Closest atoms and distances in Å follow each position.
Fractional coordinates of all 6 atoms:
Pu: 0.8794 0.3706 0.3706  6 Os 2.95-3.19, 2 Pu 3.06, 6 Cu 3.12-3.19
Pu: 0.1206 0.6294 0.6294  6 Os 2.95-3.19, 2 Pu 3.06, 6 Cu 3.12-3.19
Cu: 0.5000 0.5000 0.0000  2 Cu 2.41, 4 Os 2.66
Cu: 0.5000 0.0000 0.5000  2 Cu 2.41, 4 Os 2.66
Os: 0.0000 0.0000 0.0000  4 Cu 2.66, 2 Os 2.72, 4 Pu 2.95
Os: 0.5000 0.0000 0.0000  4 Cu 2.66, 2 Os 2.72, 4 Pu 2.95